(1)
Density functional theory data (GGA-PBE) for crystalline Nb3Pb5S12 at its relaxed geometry.

Cell lengths 13.656, 13.656, 13.656 Å; angles 109.47, 109.47, 109.47 degrees
Last column: magnetic moment on the atom in μB.
Atoms (fractional coordinates):
1 Pb 0.000 0.500 0.500  0.00
2 S 0.862 0.259 0.427  -0.07
3 Pb 0.500 0.500 0.000  0.00
4 S 0.759 0.332 0.897  -0.07
5 Pb 0.750 0.625 0.375  -0.01
6 S 0.897 0.832 0.759  -0.07
7 Nb 0.250 0.625 0.875  0.91
8 S 0.332 0.573 0.435  -0.07
9 Pb 0.250 0.875 0.125  -0.01
10 Pb 0.250 0.375 0.625  -0.01
11 S 0.259 0.862 0.927  -0.07
12 S 0.927 0.565 0.168  -0.07
13 S 0.103 0.168 0.241  -0.07
14 S 0.362 0.927 0.759  -0.07
15 S 0.668 0.241 0.603  -0.07
16 S 0.435 0.362 0.603  -0.07
17 S 0.241 0.573 0.638  -0.07
18 S 0.741 0.138 0.073  -0.07
19 Pb 0.750 0.125 0.875  -0.01
20 S 0.668 0.427 0.565  -0.07
21 Nb 0.250 0.125 0.375  0.91
22 S 0.832 0.897 0.259  -0.07
23 Nb 0.375 0.625 0.250  0.91
24 S 0.638 0.565 0.897  -0.07
25 Pb 0.000 0.000 0.500  0.00
26 Nb 0.375 0.750 0.625  0.91
27 S 0.427 0.759 0.862  -0.07
28 S 0.065 0.168 0.427  -0.07
29 Nb 0.125 0.875 0.750  0.91
30 S 0.138 0.741 0.573  -0.07
31 S 0.741 0.603 0.168  -0.07
32 Pb 0.375 0.125 0.750  -0.01
33 S 0.259 0.397 0.832  -0.07
34 Nb 0.875 0.125 0.250  0.91
35 S 0.435 0.073 0.332  -0.07
36 S 0.332 0.759 0.397  -0.07
37 S 0.638 0.073 0.241  -0.07
38 S 0.927 0.362 0.259  -0.07
39 S 0.832 0.935 0.073  -0.07
40 Nb 0.750 0.875 0.625  0.91
41 Pb 0.875 0.250 0.625  -0.01
42 S 0.241 0.668 0.103  -0.07
43 S 0.573 0.332 0.935  -0.07
44 S 0.935 0.832 0.573  -0.07
45 Pb 0.500 0.000 0.500  0.00
46 S 0.103 0.935 0.362  -0.07
47 S 0.862 0.603 0.935  -0.07
48 S 0.073 0.638 0.741  -0.07
49 Pb 0.625 0.875 0.250  -0.01
50 S 0.897 0.065 0.638  -0.07
51 Nb 0.750 0.375 0.125  0.91
52 Pb 0.125 0.375 0.250  -0.01
53 Pb 0.125 0.750 0.375  -0.01
54 Pb 0.625 0.750 0.875  -0.01
55 Pb 0.000 0.000 0.000  0.00
56 S 0.759 0.427 0.362  -0.07
57 Nb 0.875 0.750 0.125  0.91
58 Pb 0.000 0.500 0.000  0.00
59 Nb 0.125 0.250 0.875  0.91
60 S 0.073 0.435 0.832  -0.07
61 S 0.603 0.741 0.668  -0.07
62 S 0.565 0.638 0.397  -0.07
63 S 0.168 0.103 0.741  -0.07
64 S 0.603 0.862 0.435  -0.07
65 S 0.935 0.103 0.862  -0.07
66 Pb 0.875 0.625 0.750  -0.01
67 Nb 0.625 0.250 0.375  0.91
68 S 0.138 0.397 0.065  -0.07
69 S 0.362 0.435 0.103  -0.07
70 S 0.168 0.065 0.927  -0.07
71 Nb 0.625 0.375 0.750  0.91
72 Pb 0.500 0.000 0.000  0.00
73 S 0.397 0.138 0.565  -0.07
74 S 0.427 0.668 0.065  -0.07
75 Pb 0.375 0.250 0.125  -0.01
76 S 0.573 0.241 0.138  -0.07
77 S 0.397 0.259 0.332  -0.07
78 S 0.065 0.897 0.138  -0.07
79 Pb 0.500 0.500 0.500  0.00
80 S 0.565 0.927 0.668  -0.07

Summary:
For the calculated density, the calculation gives 5.759 g cm⁻³. The calculation puts the density of states at the Fermi level at 52.14 states/eV per cell. Its uncorrected formation energy is -280 kJ/mol of formula units.

(2)
Density functional theory data (GGA-PBE) for crystalline NbPbS2 at its relaxed geometry.

Cell lengths 9.283, 9.283, 9.283 Å; angles 21.05, 21.05, 21.05 degrees
Atoms (fractional coordinates):
1 Pb 0.000 0.000 0.000
2 Nb 0.500 0.500 0.500
3 S 0.891 0.891 0.891
4 S 0.109 0.109 0.109

Summary:
For the calculated density, the calculation gives 6.689 g cm⁻³. The calculation puts the density of states at the Fermi level at 1.73 states/eV per cell. Its uncorrected formation energy is -301 kJ/mol of formula units.

(3)
Density functional theory data (GGA-PBE) for crystalline NbPb2S4 at its relaxed geometry.

Cell lengths 7.489, 6.522, 7.815 Å; angles 90.00, 103.65, 90.00 degrees
Atoms (fractional coordinates):
1 S 0.916 0.250 0.613
2 Pb 0.271 0.250 0.449
3 S 0.894 0.250 0.094
4 Nb 0.728 0.250 0.807
5 Nb 0.272 0.750 0.193
6 S 0.496 0.001 0.740
7 Pb 0.729 0.750 0.551
8 Pb 0.230 0.250 0.927
9 Pb 0.770 0.750 0.073
10 S 0.084 0.750 0.387
11 S 0.106 0.750 0.906
12 S 0.504 0.501 0.260
13 S 0.496 0.499 0.740
14 S 0.504 0.999 0.260

Summary:
For the calculated density, the calculation gives 5.690 g cm⁻³. The calculation puts the density of states at the Fermi level at 5.79 states/eV per cell. Its uncorrected formation energy is -357 kJ/mol of formula units.

| no. | total magnetic moment (μB per atom) |
| --- | --- |
| 1 | 0.11 |
| 2 | 0.00 |
| 3 | 0.00 |